Density functional theory data (PBEsol) for MnNiCl after structural relaxation.

a b c (Å): 2.910 2.910 5.412
angles (deg): 105.59 105.59 90.00
Last column: magnetic moment on the atom in μB.
Sites, in units of the cell vectors:
Ni (0.680, 0.680, 0.361)  0.68
Mn (0.324, 0.324, 0.648)  3.72
Cl (0.996, 0.996, 0.991)  0.05

- Total DFT energy (no corrections): -5.762 eV/atom
- Offset from the most stable computed form: 33 kJ/mol of formula units
- Total moment: 4.571 μB/f.u.
- V: 42.38 Å³/cell
- Energy relative to the elements, uncorrected: 0.21 eV per atom